# 1
# Rb2SnSBr6 GGA-PBE optimized geometry
# - space group = I4/mmm
data_Rb2SnSBr6
_cell_length_a 7.574
_cell_length_b 7.574
_cell_length_c 8.436
_cell_angle_alpha 63.33
_cell_angle_beta 63.33
_cell_angle_gamma 90.00
_symmetry_space_group_name_H-M 'P 1'
_symmetry_Int_Tables_number 1
loop_
_symmetry_equiv_pos_as_xyz
'x,y,z'
loop_
_atom_site_label
_atom_site_type_symbol
_atom_site_fract_x
_atom_site_fract_y
_atom_site_fract_z
Br1 Br 0.219 0.219 0.563
Br2 Br 0.737 0.263 0.000
Br3 Br 0.263 0.737 0.000
Br4 Br 0.781 0.781 0.437
Br5 Br 0.737 0.737 0.000
Br6 Br 0.263 0.263 0.000
Rb1 Rb 0.250 0.750 0.500
Rb2 Rb 0.750 0.250 0.500
Sn1 Sn 0.000 0.000 0.000
S1 S 0.500 0.500 0.000

# 2
# RbSrSBr GGA-PBE optimized geometry
# - space group = R3m
data_RbSrSBr
_cell_length_a 4.456
_cell_length_b 4.456
_cell_length_c 8.502
_cell_angle_alpha 90.02
_cell_angle_beta 105.18
_cell_angle_gamma 119.99
_symmetry_space_group_name_H-M 'P 1'
_symmetry_Int_Tables_number 1
loop_
_symmetry_equiv_pos_as_xyz
'x,y,z'
loop_
_atom_site_label
_atom_site_type_symbol
_atom_site_fract_x
_atom_site_fract_y
_atom_site_fract_z
Sr1 Sr 0.112 0.954 0.081
S1 S 0.330 0.563 0.909
Rb1 Rb 0.489 0.142 0.647
Br1 Br 0.947 0.371 0.333

no.,uncorrected formation energy (eV per atom)
1,-0.8542
2,-1.8193